Computed, not measured: a relaxed ZrTaRePb2 crystal at the GGA-PBEsol level of DFT.

Cell: 4.713 5.367 5.367 Å, 90.00 90.00 90.00°
Last column: magnetic moment on the atom in μB.
Fractional positions:
Ta 0.500 0.500 0.500  1.43
Re 0.500 0.000 0.000  -0.53
Pb 0.000 0.000 0.500  0.00
Pb 0.000 0.500 0.000  0.00
Zr 0.000 0.000 0.000  0.02

Properties
- Formation energy: 2046 meV per atom
- Size of the total moment: 1.49 Bohr magnetons per cell
- SG: P4/mmm, No. 123
- Calculated density: 10.68 g/cm3

Computed, not measured: a relaxed ReTc2Pb crystal at the GGA-PBEsol level of DFT.

Cell: 2.964 4.796 4.996 Å, 101.35 90.00 108.00°
Fractional positions:
Tc 0.235 0.471 0.203
Tc 0.765 0.529 0.797
Re 0.500 0.000 0.000
Pb 0.000 0.000 0.500

Properties
- Formation energy: 616 meV per atom
- Size of the total moment: 0.00 Bohr magnetons per cell
- SG: C2/m, No. 12
- Calculated density: 14.81 g/cm3

Computed, not measured: a relaxed ReTc3Pb crystal at the GGA-PBEsol level of DFT.

Cell: 4.682 4.682 4.682 Å, 90.00 90.00 90.00°
Last column: magnetic moment on the atom in μB.
Fractional positions:
Tc 0.000 0.500 0.000  0.62
Tc 0.000 0.000 0.500  0.62
Pb 0.500 0.500 0.500  -0.01
Re 0.000 0.000 0.000  -0.11
Tc 0.500 0.000 0.000  0.62

Properties
- Formation energy: 1645 meV per atom
- Size of the total moment: 1.86 Bohr magnetons per cell
- SG: Pm-3m, No. 221
- Calculated density: 11.12 g/cm3

Computed, not measured: a relaxed Re2TcPb crystal at the GGA-PBEsol level of DFT.

Cell: 2.864 5.169 5.262 Å, 115.51 99.38 102.83°
Fractional positions:
Pb 0.000 0.500 0.000
Re 0.000 0.000 0.500
Re 0.500 0.500 0.500
Tc 0.500 0.000 0.000

Properties
- Formation energy: 991 meV per atom
- Size of the total moment: 0.00 Bohr magnetons per cell
- SG: C2/m, No. 12
- Calculated density: 17.17 g/cm3

Computed, not measured: a relaxed Re2TcPb crystal at the GGA-PBEsol level of DFT.

Cell: 3.229 4.426 5.270 Å, 114.83 107.84 90.00°
Fractional positions:
Tc 0.502 0.502 0.005
Re 0.002 0.002 0.004
Pb 0.250 0.750 0.500
Re 0.746 0.246 0.492

Properties
- Formation energy: 843 meV per atom
- Size of the total moment: 0.00 Bohr magnetons per cell
- SG: Imm2, No. 44
- Calculated density: 17.48 g/cm3

Computed, not measured: a relaxed Re2TcPb crystal at the GGA-PBEsol level of DFT.

Cell: 2.922 2.922 7.708 Å, 90.00 90.00 90.00°
Fractional positions:
Pb 0.500 0.500 0.747
Tc 0.000 0.000 0.471
Re 0.000 0.000 0.030
Re 0.500 0.500 0.251

Properties
- Formation energy: 546 meV per atom
- Size of the total moment: 0.00 Bohr magnetons per cell
- SG: P4mm, No. 99
- Calculated density: 17.10 g/cm3

Computed, not measured: a relaxed ReTe2Pb crystal at the GGA-PBEsol level of DFT.

Cell: 3.270 4.442 7.441 Å, 107.37 102.69 90.00°
Fractional positions:
Te 0.730 0.230 0.461
Re 0.273 0.773 0.547
Te 0.925 0.925 0.851
Pb 0.571 0.571 0.142

Properties
- Size of the total moment: 0.00 Bohr magnetons per cell
- SG: Imm2, No. 44
- Calculated density: 10.73 g/cm3
- VASP energy: -5.673 eV per atom

Computed, not measured: a relaxed ReTe2Pb crystal at the GGA-PBEsol level of DFT.

Cell: 3.274 4.984 6.823 Å, 111.42 103.88 90.00°
Fractional positions:
Te 0.678 0.678 0.355
Re 0.000 0.500 0.000
Pb 0.500 0.000 0.000
Te 0.322 0.322 0.645

Properties
- Size of the total moment: 0.00 Bohr magnetons per cell
- SG: Immm, No. 71
- Calculated density: 10.75 g/cm3
- VASP energy: -5.666 eV per atom

Question: What is the size of the total moment in the seventh record?
Answer: 0.00 Bohr magnetons per cell

Question: Number 2 is which compound?
Answer: ReTc2Pb

Question: Which formula does entry 2 have?
Answer: ReTc2Pb

Question: What is the formula in the second record?
Answer: ReTc2Pb